(P)
VASP calculation (GGA-PBE) on MgCu4Pd7 after structural relaxation.

```
data_MgCu4Pd7
_chemical_formula_sum 'Mg1 Cu4 Pd7'
_symmetry_space_group_name_H-M 'P -1'
_symmetry_Int_Tables_number 2
_cell_length_a 4.7715
_cell_length_b 5.4367
_cell_length_c 7.2328
_cell_angle_alpha 77.20
_cell_angle_beta 71.99
_cell_angle_gamma 89.04
loop_
_symmetry_equiv_pos_as_xyz
'x,y,z'
'-x,-y,-z'
loop_
_atom_site_label
_atom_site_type_symbol
_atom_site_fract_x
_atom_site_fract_y
_atom_site_fract_z
Mg1 Mg 0.0000 0.0000 0.0000
Cu1 Cu 0.1674 0.4175 0.3316
Cu2 Cu 0.3411 0.8289 0.6612
Pd1 Pd 0.0000 0.5000 0.0000
Pd2 Pd 0.1689 0.9181 0.3392
Pd3 Pd 0.3252 0.3333 0.6617
Pd4 Pd 0.4947 0.7491 0.9970
```

Calculated values
crystal system: triclinic

***

(Q)
VASP calculation (GGA-PBE) on MgCu4Pd7 after structural relaxation.

```
data_MgCu4Pd7
_chemical_formula_sum 'Mg2 Cu8 Pd14'
_symmetry_space_group_name_H-M 'C 1 2/m 1'
_symmetry_Int_Tables_number 12
_cell_length_a 9.9553
_cell_length_b 4.7070
_cell_length_c 9.3406
_cell_angle_alpha 90.00
_cell_angle_beta 120.25
_cell_angle_gamma 90.00
loop_
_symmetry_equiv_pos_as_xyz
'x,y,z'
'-x,-y,-z'
'-x,y,-z'
'x,-y,z'
'x+1/2,y+1/2,z'
'-x+1/2,-y+1/2,-z'
'-x+1/2,y+1/2,-z'
'x+1/2,-y+1/2,z'
loop_
_atom_site_label
_atom_site_type_symbol
_atom_site_fract_x
_atom_site_fract_y
_atom_site_fract_z
Mg1 Mg 0.0000 0.0000 0.0000
Cu1 Cu 0.0709 0.5000 0.7706
Cu2 Cu 0.2187 0.5000 0.3137
Pd1 Pd 0.0000 0.5000 0.0000
Pd2 Pd 0.0423 0.0000 0.3789
Pd3 Pd 0.1570 0.5000 0.5557
Pd4 Pd 0.2064 0.0000 0.9161
```

Calculated values
crystal system: monoclinic

***

Stability summary: most stable (P), least stable (Q).

***

(P)
VASP calculation (GGA-PBE) on Mg3CuPd6 after structural relaxation.

```
data_Mg3CuPd6
_chemical_formula_sum 'Mg6 Cu2 Pd12'
_symmetry_space_group_name_H-M 'P 1 21/m 1'
_symmetry_Int_Tables_number 11
_cell_length_a 7.4748
_cell_length_b 4.5354
_cell_length_c 9.7569
_cell_angle_alpha 90.00
_cell_angle_beta 110.14
_cell_angle_gamma 90.00
loop_
_symmetry_equiv_pos_as_xyz
'x,y,z'
'-x,-y,-z'
'-x,y+1/2,-z'
'x,-y+1/2,z'
loop_
_atom_site_label
_atom_site_type_symbol
_atom_site_fract_x
_atom_site_fract_y
_atom_site_fract_z
Mg1 Mg 0.0481 0.2500 0.3869
Mg2 Mg 0.1420 0.7500 0.2193
Mg3 Mg 0.2827 0.2500 0.9861
Cu1 Cu 0.4584 0.2500 0.5780
Pd1 Pd 0.0352 0.7500 0.9193
Pd2 Pd 0.1636 0.2500 0.6790
Pd3 Pd 0.2524 0.7500 0.5148
Pd4 Pd 0.3407 0.7500 0.8237
Pd5 Pd 0.3586 0.2500 0.2932
Pd6 Pd 0.4364 0.7500 0.1351
```

Calculated values
crystal system: monoclinic

***

(Q)
VASP calculation (GGA-PBE) on Mg3CuPd6 after structural relaxation.

```
data_Mg3CuPd6
_chemical_formula_sum 'Mg18 Cu6 Pd36'
_symmetry_space_group_name_H-M 'R -3'
_symmetry_Int_Tables_number 148
_symmetry_space_group_name_Hall '-R 3'
_cell_length_a 11.6967
_cell_length_b 11.6967
_cell_length_c 8.2048
_cell_angle_alpha 90.00
_cell_angle_beta 90.00
_cell_angle_gamma 120.00
loop_
_atom_site_label
_atom_site_type_symbol
_atom_site_fract_x
_atom_site_fract_y
_atom_site_fract_z
Mg1 Mg 0.0465 0.2050 0.2488
Cu1 Cu 0.0000 0.0000 0.0000
Cu2 Cu 0.0000 0.0000 0.5000
Pd1 Pd 0.0464 0.2374 0.5757
Pd2 Pd 0.0619 0.2413 0.9237
```

Calculated values
crystal system: trigonal

***

Stability summary: most stable (P), least stable (Q).

***

(P)
VASP calculation (GGA-PBE) on MgCuPd5 after structural relaxation.

```
data_MgCuPd5
_chemical_formula_sum 'Mg2 Cu2 Pd10'
_symmetry_space_group_name_H-M 'I m m 2'
_symmetry_Int_Tables_number 44
_cell_length_a 5.1337
_cell_length_b 6.8267
_cell_length_c 7.1169
_cell_angle_alpha 90.00
_cell_angle_beta 90.00
_cell_angle_gamma 90.00
loop_
_symmetry_equiv_pos_as_xyz
'x,y,z'
'-x,-y,z'
'-x,y,z'
'x,-y,z'
'x+1/2,y+1/2,z+1/2'
'-x+1/2,-y+1/2,z+1/2'
'-x+1/2,y+1/2,z+1/2'
'x+1/2,-y+1/2,z+1/2'
loop_
_atom_site_label
_atom_site_type_symbol
_atom_site_fract_x
_atom_site_fract_y
_atom_site_fract_z
Mg1 Mg 0.0000 0.0000 0.0000
Cu1 Cu 0.0000 0.5000 0.1379
Pd1 Pd 0.0000 0.0000 0.6589
Pd2 Pd 0.0000 0.3134 0.4607
Pd3 Pd 0.2439 0.5000 0.8061
```

Calculated values
crystal system: orthorhombic

***

(Q)
VASP calculation (GGA-PBE) on MgCuPd5 after structural relaxation.

```
data_MgCuPd5
_chemical_formula_sum 'Mg2 Cu2 Pd10'
_symmetry_space_group_name_H-M 'C m m m'
_symmetry_Int_Tables_number 65
_symmetry_space_group_name_Hall '-C 2 2'
_cell_length_a 5.3736
_cell_length_b 7.8807
_cell_length_c 5.5076
_cell_angle_alpha 90.00
_cell_angle_beta 90.00
_cell_angle_gamma 90.00
loop_
_atom_site_label
_atom_site_type_symbol
_atom_site_fract_x
_atom_site_fract_y
_atom_site_fract_z
Mg1 Mg 0.0000 0.0000 0.0000
Cu1 Cu 0.0000 0.5000 0.5000
Pd1 Pd 0.0000 0.0000 0.5000
Pd2 Pd 0.2500 0.2500 0.2478
```

Calculated values
crystal system: orthorhombic

***

Stability summary: most stable (Q), least stable (P).

***

(P)
VASP calculation (GGA-PBE) on Mg6CuPd after structural relaxation.

```
data_Mg6CuPd
_chemical_formula_sum 'Mg12 Cu2 Pd2'
_symmetry_space_group_name_H-M 'I 4/m m m'
_symmetry_Int_Tables_number 139
_symmetry_space_group_name_Hall '-I 4 2'
_cell_length_a 4.5077
_cell_length_b 4.5077
_cell_length_c 15.2019
_cell_angle_alpha 90.00
_cell_angle_beta 90.00
_cell_angle_gamma 90.00
loop_
_atom_site_label
_atom_site_type_symbol
_atom_site_fract_x
_atom_site_fract_y
_atom_site_fract_z
Mg1 Mg 0.0000 0.0000 0.2491
Mg2 Mg 0.0000 0.5000 0.1025
Cu1 Cu 0.0000 0.0000 0.5000
Pd1 Pd 0.0000 0.0000 0.0000
```

Calculated values
crystal system: tetragonal

***

(Q)
VASP calculation (GGA-PBE) on Mg6CuPd after structural relaxation.

```
data_Mg6CuPd
_chemical_formula_sum 'Mg12 Cu2 Pd2'
_symmetry_space_group_name_H-M 'C 1 2/m 1'
_symmetry_Int_Tables_number 12
_cell_length_a 6.0623
_cell_length_b 10.2903
_cell_length_c 6.0119
_cell_angle_alpha 90.00
_cell_angle_beta 114.38
_cell_angle_gamma 90.00
loop_
_symmetry_equiv_pos_as_xyz
'x,y,z'
'-x,-y,-z'
'-x,y,-z'
'x,-y,z'
'x+1/2,y+1/2,z'
'-x+1/2,-y+1/2,-z'
'-x+1/2,y+1/2,-z'
'x+1/2,-y+1/2,z'
loop_
_atom_site_label
_atom_site_type_symbol
_atom_site_fract_x
_atom_site_fract_y
_atom_site_fract_z
Mg1 Mg 0.2455 0.1977 0.2497
Mg2 Mg 0.2482 0.0000 0.7518
Cu1 Cu 0.0000 0.0000 0.0000
Pd1 Pd 0.0000 0.5000 0.5000
```

Calculated values
crystal system: monoclinic

***

Stability summary: most stable (P), least stable (Q).